## RbLiPb3 (PBE)

Data for a geometry-optimized RbLiPb3 structure.

Geometry as POSCAR:
```
RbLiPb3
1.0
-0.229 1.952 -5.079
-2.820 -4.390 -1.561
-4.654 2.565 1.195
Li Pb Rb
1 3 1
Direct
0.000 0.000 0.000
0.000 0.500 0.000
0.000 0.000 0.500
0.500 0.000 0.000
0.500 0.500 0.500
```

Properties
Energy above the lowest structure with this stoichiometry ... 167 meV/atom
Mass density ... 7.34 g/cm3
E ... -2.80 eV per atom
E_form ... 1 meV/atom